This record from the Alexandria database describes crystalline FeSi2HRh at its relaxed geometry. The functional is PBEsol.

Geometry as POSCAR:
```
FeSi2HRh
1.0
-4.0472 0.9446 -0.5086
-0.8734 -4.0537 -0.5789
-0.6645 -0.4837 4.3896
Rh Si Fe H
1 2 1 1
Cartesian
-0.3323 -0.2419 2.1948 Rh
-0.4367 -2.0269 -0.2895 Si
-2.0236 0.4723 -0.2543 Si
0.0000 0.0000 0.0000 Fe
-2.7926 -1.7964 1.6510 H
```

## Properties
The calculated volume comes out at 78.29 Å³ per cell. The magnetic moment is 0.0 Bohr magnetons per cell. As for the crystal system: tetragonal. Its total energy is -26.96 eV per cell. Its calculated density is 4580 kg/m³. Its symmetry is P4/mmm.

This record from the Alexandria database describes crystalline FeH2Ru at its relaxed geometry. The functional is PBEsol.

Geometry as POSCAR:
```
FeH2Ru
1.0
-0.0242 1.6180 3.5937
-3.8084 -0.9344 0.3950
2.9294 -3.8085 -0.4266
H Fe Ru
4 2 2
Cartesian
1.6273 -2.7932 0.1880 H
-0.7164 0.0747 3.1003 H
-2.6097 -1.1244 1.6722 H
-0.1076 -2.4068 2.1635 H
-1.9163 0.3418 1.9943 Fe
0.4944 -0.9243 2.5807 Fe
-1.3976 -2.2005 0.9813 Ru
0.0000 0.0000 0.0000 Ru
```

## Properties
The calculated volume comes out at 61.16 Å³ per cell. The magnetic moment is 4.5 Bohr magnetons per cell. As for the crystal system: tetragonal. As for the energy relative to the lowest polymorph listed for this composition: 0.000 eV/atom. Its total energy is -50.10 eV per cell. Its calculated density is 8631 kg/m³. Its symmetry is I-42d.

This record from the Alexandria database describes crystalline FeH2Ru at its relaxed geometry. The functional is PBEsol.

Geometry as POSCAR:
```
FeH2Ru
1.0
-1.8658 0.2559 2.9875
-1.0405 -2.9224 1.6879
1.4774 -0.8779 3.0852
H Fe Ru
2 1 1
Cartesian
-1.0717 -2.6583 5.8205 H
-0.3572 -0.8861 1.9402 H
0.0000 0.0000 0.0000 Fe
-0.7145 -1.7722 3.8803 Ru
```

## Properties
The calculated volume comes out at 31.14 Å³ per cell. The magnetic moment is 3.2 Bohr magnetons per cell. As for the crystal system: cubic. As for the energy relative to the lowest polymorph listed for this composition: 0.384 eV/atom. Its total energy is -23.52 eV per cell. Its calculated density is 8474 kg/m³. Its symmetry is Fm-3m.

This record from the Alexandria database describes crystalline FeTe2HSe at its relaxed geometry. The functional is PBEsol.

Geometry as POSCAR:
```
FeTe2HSe
1.0
4.5366 0.0000 0.0000
0.0000 5.0944 0.0000
0.0000 0.0000 5.0944
Fe Te Se H
1 2 1 1
Cartesian
0.0000 0.0000 0.0000 Fe
0.0000 0.0000 2.5472 Te
0.0000 2.5472 0.0000 Te
2.2683 0.0000 0.0000 Se
2.2683 2.5472 2.5472 H
```

## Properties
The calculated volume comes out at 117.74 Å³ per cell. The magnetic moment is 3.5 Bohr magnetons per cell. As for the crystal system: tetragonal. Its total energy is -19.24 eV per cell. Its calculated density is 5515 kg/m³. Its symmetry is P4/mmm.

This record from the Alexandria database describes crystalline ZrFeHSe2 at its relaxed geometry. The functional is PBEsol.

Geometry as POSCAR:
```
ZrFeHSe2
1.0
3.3039 0.0000 0.0000
0.0000 4.4725 0.0000
0.0000 0.0000 4.4725
Se Fe Zr H
2 1 1 1
Cartesian
0.0000 0.0000 2.2362 Se
0.0000 2.2362 0.0000 Se
1.6520 0.0000 0.0000 Fe
1.6520 2.2362 2.2362 Zr
0.0000 0.0000 0.0000 H
```

## Properties
The calculated volume comes out at 66.09 Å³ per cell. The magnetic moment is 1.1 Bohr magnetons per cell. As for the crystal system: tetragonal. Its total energy is -30.59 eV per cell. Its calculated density is 7688 kg/m³. Its symmetry is P4/mmm.

This record from the Alexandria database describes crystalline Fe2SiH2 at its relaxed geometry. The functional is PBEsol.

Geometry as POSCAR:
```
Fe2SiH2
1.0
2.7310 0.0000 0.0000
0.0000 2.7310 0.0000
-1.3655 -1.3655 4.8232
H Fe Si
2 2 1
Cartesian
0.0000 1.3655 2.4116 H
1.3655 0.0000 2.4116 H
0.0000 0.0000 3.4697 Fe
1.3655 1.3655 1.3535 Fe
0.0000 0.0000 0.0000 Si
```

## Properties
The calculated volume comes out at 35.97 Å³ per cell. The magnetic moment is 1.0 Bohr magnetons per cell. As for the crystal system: tetragonal. Its total energy is -31.30 eV per cell. Its calculated density is 6545 kg/m³. Its symmetry is I4/mmm.

This record from the Alexandria database describes crystalline Fe3SiH at its relaxed geometry. The functional is PBEsol.

Geometry as POSCAR:
```
Fe3SiH
1.0
3.5236 0.0000 0.0000
0.0000 3.5236 0.0000
0.0000 0.0000 3.5236
Si Fe H
1 3 1
Cartesian
1.7618 1.7618 1.7618 Si
0.0000 0.0000 1.7618 Fe
1.7618 0.0000 0.0000 Fe
0.0000 1.7618 0.0000 Fe
0.0000 0.0000 0.0000 H
```

## Properties
The calculated volume comes out at 43.75 Å³ per cell. The magnetic moment is 3.7 Bohr magnetons per cell. As for the crystal system: cubic. Its total energy is -37.19 eV per cell. Its calculated density is 7463 kg/m³. Its symmetry is Pm-3m.

This record from the Alexandria database describes crystalline FeSi2SnH at its relaxed geometry. The functional is PBEsol.

Geometry as POSCAR:
```
FeSi2SnH
1.0
-2.3740 -3.3425 0.9064
0.4746 -1.4026 -3.9290
3.9662 -2.4498 1.3537
Si Fe Sn H
2 1 1 1
Cartesian
0.2373 -0.7013 -1.9645 Si
-1.1870 -1.6712 0.4532 Si
0.0000 0.0000 0.0000 Fe
1.9831 -1.2249 0.6769 Sn
1.0334 -3.5975 -0.8344 H
```

## Properties
The calculated volume comes out at 85.58 Å³ per cell. The magnetic moment is 0.0 Bohr magnetons per cell. As for the crystal system: tetragonal. Its total energy is -26.11 eV per cell. Its calculated density is 4496 kg/m³. Its symmetry is P4/mmm.

This record from the Alexandria database describes crystalline SrFeH2 at its relaxed geometry. The functional is PBEsol.

Geometry as POSCAR:
```
SrFeH2
1.0
-2.7887 2.6746 -1.7300
-4.1112 -1.0050 -0.1068
-2.7508 2.0742 2.4606
H Fe Sr
2 1 1
Cartesian
-7.2380 2.8079 0.4678 H
-2.4127 0.9360 0.1559 H
0.0000 0.0000 0.0000 Fe
-4.8253 1.8719 0.3119 Sr
```

## Properties
The calculated volume comes out at 53.66 Å³ per cell. The magnetic moment is 3.2 Bohr magnetons per cell. As for the crystal system: cubic. Its total energy is -15.35 eV per cell. Its calculated density is 4502 kg/m³. Its symmetry is Fm-3m.

This record from the Alexandria database describes crystalline SrFe2H at its relaxed geometry. The functional is PBEsol.

Geometry as POSCAR:
```
SrFe2H
1.0
-3.7762 1.8953 -1.1084
-3.2545 0.2472 2.9031
-1.0968 3.8590 1.7281
H Sr Fe
1 1 2
Cartesian
0.0000 0.0000 0.0000 H
-4.0638 3.0008 1.7614 Sr
-6.0957 4.5011 2.6421 Fe
-2.0319 1.5004 0.8807 Fe
```

## Properties
The calculated volume comes out at 58.94 Å³ per cell. The magnetic moment is 4.5 Bohr magnetons per cell. As for the crystal system: cubic. Its total energy is -16.80 eV per cell. Its calculated density is 5644 kg/m³. Its symmetry is Fm-3m.

This record from the Alexandria database describes crystalline SrFe3H at its relaxed geometry. The functional is PBEsol.

Geometry as POSCAR:
```
SrFe3H
1.0
4.7182 0.0000 0.0000
0.0000 4.7182 0.0000
0.0000 0.0000 4.7182
Fe Sr H
3 1 1
Cartesian
2.3591 0.0000 0.0000 Fe
0.0000 0.0000 2.3591 Fe
0.0000 2.3591 0.0000 Fe
0.0000 0.0000 0.0000 Sr
2.3591 2.3591 2.3591 H
```

## Properties
The calculated volume comes out at 105.04 Å³ per cell. The magnetic moment is 7.0 Bohr magnetons per cell. As for the crystal system: cubic. Its total energy is -17.33 eV per cell. Its calculated density is 4050 kg/m³. Its symmetry is Pm-3m.

This record from the Alexandria database describes crystalline TaFe3H at its relaxed geometry. The functional is PBEsol.

Geometry as POSCAR:
```
TaFe3H
1.0
-1.0520 -1.7673 -3.0102
3.1122 0.9490 -1.6448
1.5809 -3.0443 1.2349
Fe Ta H
3 1 1
Cartesian
-0.5260 -0.8837 -1.5051 Fe
0.7904 -1.5221 0.6174 Fe
1.5561 0.4745 -0.8224 Fe
1.8205 -1.9313 -1.7101 Ta
0.0000 0.0000 0.0000 H
```

## Properties
The calculated volume comes out at 48.46 Å³ per cell. The magnetic moment is 1.7 Bohr magnetons per cell. As for the crystal system: cubic. Its total energy is -43.45 eV per cell. Its calculated density is 11976 kg/m³. Its symmetry is Pm-3m.